DFT (GGA-PBE) results for a relaxed structure of PmSiNi.

The structure belongs to space group Cmcm (No. 63); the cell edges are 3.981, 6.933 and 8.358 Å and the angles 90.00°, 90.00° and 90.00°. The inequivalent atoms are Pm at (0.000, 0.000, 0.000), Si at (0.000, 0.333, 0.250) and Ni at (0.000, 0.334, 0.750).

Its calculated density is 6.67 g/cm3. The calculation puts the energy above the most stable polymorph in this dataset at 0 meV/atom.